Entry 1:
VASP calculation (PBE) on an optimized crystal structure of Cs3BeOs.

Summary:
size of the total moment = 0.03 μB per atom
E_form = 775 kJ/mol of formula units
E_tot = -1.896 eV per atom
space group = Pm-3m (221)

a = 6.1503 Å, b = 6.1503 Å, c = 6.1503 Å
α = 90.00°, β = 90.00°, γ = 90.00°
Element x y z (fractional)
1 Cs 0.0000 0.5000 0.0000
2 Cs 0.0000 0.0000 0.5000
3 Cs 0.5000 0.0000 0.0000
4 Os 0.0000 0.0000 0.0000
5 Be 0.5000 0.5000 0.5000

Entry 2:
VASP calculation (PBE) on an optimized crystal structure of LiLaThAu.

Summary:
size of the total moment = 0.17 μB per atom
E_form = -75 kJ/mol of formula units
E_tot = -4.578 eV per atom
space group = F-43m (216)

a = 5.2996 Å, b = 5.2996 Å, c = 5.2996 Å
α = 60.00°, β = 60.00°, γ = 60.00°
Element x y z (fractional)
1 Th 0.7500 0.7500 0.7500
2 Li 0.5000 0.5000 0.5000
3 Au 0.0000 0.0000 0.0000
4 La 0.2500 0.2500 0.2500